Record 1
K3Tb2YTe6 | PBE | optimized geometry

Unit cell a=7.805 b=7.805 c=8.646 alpha=98.65 beta=98.65 gamma=120.00
Element x y z (fractional)
K  0.167  0.833  0.500
K  0.833  0.167  0.500
K  0.500  0.500  0.500
Tb  0.333  0.667  0.000
Tb  0.667  0.333  0.000
Y  0.000  0.000  0.000
Te  0.930  0.598  0.791
Te  0.737  0.737  0.209
Te  0.070  0.402  0.209
Te  0.598  0.930  0.791
Te  0.263  0.263  0.791
Te  0.402  0.070  0.209

Properties
- Uncorrected energy: -4.562 eV/atom
- Symmetry: C2/m, No. 12
- Volume: 435 Å³ per cell
- Formation energy (no corrections): -1406 meV per atom
- Magnetization: 0.00 μB per formula unit


Record 2
MnHg2Ir | PBE | optimized geometry

Unit cell a=5.394 b=5.394 c=4.860 alpha=72.35 beta=72.35 gamma=32.85
Each line ends with the local moment (μB).
Element x y z (fractional)
Hg  0.983  0.983  0.039  0.00
Hg  0.767  0.767  0.709  -0.02
Ir  0.526  0.526  0.508  0.28
Mn  0.223  0.223  0.244  3.70

Properties
- Calculated formation energy: 0.344 eV per atom
- Uncorrected energy: -4.314 eV/atom
- Symmetry: Cm, No. 8
- Volume: 73 Å³ per cell
- Magnetization: 4.16 μB per formula unit


Record 3
Na3Ca2TaO6 | PBE | optimized geometry

Unit cell a=5.782 b=5.782 c=5.836 alpha=99.64 beta=99.64 gamma=120.01
Element x y z (fractional)
Na  0.162  0.838  0.500
Na  0.838  0.162  0.500
Na  0.500  0.500  0.500
Ca  0.333  0.667  0.000
Ca  0.667  0.333  0.000
Ta  0.000  0.000  0.000
O  0.930  0.639  0.789
O  0.777  0.777  0.204
O  0.070  0.361  0.211
O  0.639  0.930  0.789
O  0.223  0.223  0.796
O  0.361  0.070  0.211

Properties
- Uncorrected energy: -6.659 eV/atom
- Symmetry: C2/m, No. 12
- Volume: 159 Å³ per cell
- Formation energy (no corrections): -2529 meV per atom
- Magnetization: 0.00 μB per formula unit


Record 4
Nb3GaOs | PBE | optimized geometry

Unit cell a=4.648 b=4.648 c=4.648 alpha=90.00 beta=90.00 gamma=90.00
Element x y z (fractional)
Nb  0.000  0.500  0.000
Nb  0.000  0.000  0.500
Nb  0.500  0.000  0.000
Os  0.500  0.500  0.500
Ga  0.000  0.000  0.000

Properties
- Calculated formation energy: 1.400 eV per atom
- Uncorrected energy: -7.493 eV/atom
- Symmetry: Pm-3m, No. 221
- Volume: 100 Å³ per cell
- Magnetization: 0.00 μB per formula unit


Record 5
AsPAu2 | PBE | optimized geometry

Unit cell a=6.296 b=6.296 c=6.296 alpha=147.39 beta=145.80 gamma=47.98
Element x y z (fractional)
As  0.250  0.750  0.500
Au  0.942  0.942  0.000
Au  0.558  0.558  0.000
P  0.750  0.250  0.500

Properties
- Calculated formation energy: 0.317 eV per atom
- Uncorrected energy: -3.837 eV/atom
- Symmetry: Immm, No. 71
- Volume: 75 Å³ per cell
- Magnetization: 0.00 μB per formula unit


Record 6
GaGeI | PBE | optimized geometry

Unit cell a=9.342 b=4.100 c=11.713 alpha=90.00 beta=115.63 gamma=90.00
Element x y z (fractional)
I  0.165  0.000  0.608
I  0.165  0.500  0.108
I  0.814  0.000  0.227
I  0.814  0.500  0.727
Ge  0.504  0.000  0.032
Ge  0.504  0.500  0.532
Ge  0.574  0.000  0.436
Ge  0.574  0.500  0.936
Ga  0.394  0.000  0.199
Ga  0.394  0.500  0.699
Ga  0.810  0.000  0.960
Ga  0.810  0.500  0.460

Properties
- Uncorrected energy: -3.123 eV/atom
- Symmetry: Cm, No. 8
- Volume: 404 Å³ per cell
- Formation energy (no corrections): -58 meV per atom
- Magnetization: 0.00 μB per formula unit


Record 7
AcThCd | PBE | optimized geometry

Unit cell a=3.871 b=3.871 c=7.301 alpha=105.37 beta=105.37 gamma=90.00
Element x y z (fractional)
Ac  0.009  0.009  0.018
Th  0.316  0.316  0.632
Cd  0.675  0.675  0.350

Properties
- Calculated formation energy: -0.039 eV per atom
- Uncorrected energy: -4.187 eV/atom
- Symmetry: I4mm, No. 107
- Volume: 101 Å³ per cell
- Magnetization: 0.00 μB per formula unit


Record 8
DyTmMg | PBE | optimized geometry

Unit cell a=3.614 b=3.614 c=6.986 alpha=104.99 beta=104.99 gamma=90.00
Each line ends with the local moment (μB).
Element x y z (fractional)
Mg  0.666  0.666  0.331  0.00
Tm  0.007  0.007  0.013  0.20
Dy  0.328  0.328  0.656  0.19

Properties
- Calculated formation energy: -0.032 eV per atom
- Uncorrected energy: -3.588 eV/atom
- Symmetry: I4mm, No. 107
- Volume: 85 Å³ per cell
- Magnetization: 0.52 μB per formula unit


Record 9
AlZnSb2 | PBE | optimized geometry

Unit cell a=6.242 b=6.242 c=7.504 alpha=65.42 beta=65.42 gamma=90.00
Element x y z (fractional)
Sb  0.630  0.125  0.250
Sb  0.120  0.625  0.250
Sb  0.375  0.370  0.750
Sb  0.875  0.880  0.750
Zn  0.000  0.000  0.000
Zn  0.750  0.250  0.500
Al  0.500  0.500  0.000
Al  0.250  0.750  0.500

Properties
- Uncorrected energy: -3.325 eV/atom
- Symmetry: I-42d, No. 122
- Volume: 236 Å³ per cell
- Formation energy (no corrections): -9 meV per atom
- Magnetization: 0.00 μB per formula unit


Record 10
KCaPb2 | PBE | optimized geometry

Unit cell a=5.681 b=3.816 c=6.148 alpha=89.90 beta=90.00 gamma=90.00
Element x y z (fractional)
Ca  0.000  0.623  0.416
K  0.500  0.627  0.815
Pb  0.000  0.126  0.961
Pb  0.500  0.125  0.308

Properties
- Calculated formation energy: -0.246 eV per atom
- Uncorrected energy: -2.874 eV/atom
- Symmetry: Pm, No. 6
- Volume: 133 Å³ per cell
- Magnetization: 0.00 μB per formula unit


Record 11
Zr2HClO | PBE | optimized geometry

Unit cell a=4.723 b=4.253 c=4.723 alpha=90.00 beta=90.00 gamma=90.00
Element x y z (fractional)
H  0.500  0.500  0.500
O  0.000  0.500  0.000
Zr  0.000  0.000  0.500
Zr  0.500  0.000  0.000
Cl  0.000  0.000  0.000

Properties
- Uncorrected energy: -4.789 eV/atom
- Symmetry: P4/mmm, No. 123
- Volume: 95 Å³ per cell
- Magnetization: 0.00 μB per formula unit


Record 12
TiAl3As | PBE | optimized geometry

Unit cell a=4.800 b=4.800 c=4.800 alpha=90.00 beta=90.00 gamma=90.00
Element x y z (fractional)
As  0.000  0.000  0.000
Al  0.000  0.500  0.000
Al  0.000  0.000  0.500
Al  0.500  0.000  0.000
Ti  0.500  0.500  0.500

Properties
- Calculated formation energy: 0.810 eV per atom
- Uncorrected energy: -3.945 eV/atom
- Symmetry: Pm-3m, No. 221
- Volume: 111 Å³ per cell
- Magnetization: 0.00 μB per formula unit


Copy entry 12 word for word.
TiAl3As | PBE | optimized geometry

Unit cell a=4.800 b=4.800 c=4.800 alpha=90.00 beta=90.00 gamma=90.00
Element x y z (fractional)
As  0.000  0.000  0.000
Al  0.000  0.500  0.000
Al  0.000  0.000  0.500
Al  0.500  0.000  0.000
Ti  0.500  0.500  0.500

Properties
- Calculated formation energy: 0.810 eV per atom
- Uncorrected energy: -3.945 eV/atom
- Symmetry: Pm-3m, No. 221
- Volume: 111 Å³ per cell
- Magnetization: 0.00 μB per formula unit


Question: Among the records above, which one has the highest uncorrected energy?
Answer: KCaPb2


Question: The highest uncorrected energy belongs to which entry?
Answer: KCaPb2


Question: The lowest volume belongs to which entry?
Answer: MnHg2Ir